Entry from the Alexandria database: Na2LiC after structural relaxation (PBE-GGA).

Size of the total moment   0.000 μB/atom
Energy relative to the elements   1179 meV/atom

Cell and atoms, written as CIF:
```
data_Na2LiC
_chemical_formula_sum 'Na8 Li4 C4'
_cell_length_a 3.9025
_cell_length_b 3.9025
_cell_length_c 18.3066
_cell_angle_alpha 90.00
_cell_angle_beta 90.00
_cell_angle_gamma 90.00
_space_group_name_H-M_alt 'I -4 2 d'
_space_group_IT_number 122
_space_group_name_Hall 'I -4 2bw'
loop_
_atom_site_label
_atom_site_type_symbol
_atom_site_fract_x
_atom_site_fract_y
_atom_site_fract_z
Na1 Na 0.2173 0.2500 0.1250
Li1 Li 0.0000 0.0000 0.5000
C1 C 0.0000 0.0000 0.0000
```


Entry from the Alexandria database: Ca2SCl after structural relaxation (PBE-GGA).

Raw formation energy   -1.840 eV/atom
Size of the total moment   0.000 μB/atom

Cell and atoms, written as CIF:
```
data_Ca2SCl
_chemical_formula_sum 'Ca6 S3 Cl3'
_cell_length_a 4.0470
_cell_length_b 4.0470
_cell_length_c 19.9603
_cell_angle_alpha 90.00
_cell_angle_beta 90.00
_cell_angle_gamma 120.00
_space_group_name_H-M_alt 'R -3 m'
_space_group_IT_number 166
_space_group_name_Hall '-R 3 2"'
loop_
_atom_site_label
_atom_site_type_symbol
_atom_site_fract_x
_atom_site_fract_y
_atom_site_fract_z
Ca1 Ca 0.0000 0.0000 0.2411
S1 S 0.0000 0.0000 0.5000
Cl1 Cl 0.0000 0.0000 0.0000
```


Entry from the Alexandria database: PrHo7Er3 after structural relaxation (PBE-GGA).

Size of the total moment   0.000 μB/atom
Energy relative to the elements   148 meV/atom

Cell and atoms, written as CIF:
```
data_PrHo7Er3
_chemical_formula_sum 'Pr1 Ho7 Er3'
_cell_length_a 6.9130
_cell_length_b 5.5141
_cell_length_c 9.8311
_cell_angle_alpha 90.00
_cell_angle_beta 109.38
_cell_angle_gamma 90.00
_space_group_name_H-M_alt 'P 1 2/m 1'
_space_group_IT_number 10
_space_group_name_Hall '-P 2y'
loop_
_atom_site_label
_atom_site_type_symbol
_atom_site_fract_x
_atom_site_fract_y
_atom_site_fract_z
Pr1 Pr 0.0000 0.0000 0.0000
Ho1 Ho 0.0000 0.0000 0.5000
Ho2 Ho 0.1484 0.5000 0.7898
Ho3 Ho 0.3262 0.5000 0.1433
Ho4 Ho 0.4272 0.0000 0.3323
Er1 Er 0.2761 0.5000 0.4954
Er2 Er 0.5000 0.0000 0.0000
```


Let's list total energy in order: -2.26 -4.33 -4.44 eV per atom.